# 1
A plane-wave DFT calculation with PBE-GGA was carried out for a geometry-optimized Hf4AlMo2 structure.

- Total energy: -0.3402 Ha/atom
- Space group: I4/mmm (139)
- DOS(E_F): 7.8 states/eV per cell
- Energy relative to the elements: 60 meV/atom

Cell and atoms, written as CIF:
```
data_Hf4AlMo2
_cell_length_a 5.711
_cell_length_b 5.711
_cell_length_c 5.711
_cell_angle_alpha 107.19
_cell_angle_beta 110.62
_cell_angle_gamma 110.62
_symmetry_space_group_name_H-M 'P 1'
_symmetry_Int_Tables_number 1
_symmetry_space_group_name_Hall 'P 1'
loop_
_atom_site_label
_atom_site_type_symbol
_atom_site_fract_x
_atom_site_fract_y
_atom_site_fract_z
Mo1 Mo 0.500 0.500 0.000
Mo2 Mo 0.500 0.000 0.500
Hf1 Hf 0.500 0.000 0.000
Hf2 Hf 0.500 0.500 0.500
Hf3 Hf 0.000 0.000 0.500
Hf4 Hf 0.000 0.500 0.000
Al1 Al 0.000 0.000 0.000
```



# 2
A plane-wave DFT calculation with PBE-GGA was carried out for a geometry-optimized Sm3US6 structure.

- Total energy: -0.2511 Ha/atom
- Space group: R3 (146)
- Formation energy without anion corrections: -175 kJ/mol of atoms
- DOS(E_F): 8.5 states/eV per cell

Cell and atoms, written as CIF:
```
data_Sm3US6
_cell_length_a 7.058
_cell_length_b 7.058
_cell_length_c 7.489
_cell_angle_alpha 61.88
_cell_angle_beta 61.88
_cell_angle_gamma 60.00
_symmetry_space_group_name_H-M 'P 1'
_symmetry_Int_Tables_number 1
_symmetry_space_group_name_Hall 'P 1'
loop_
_atom_site_label
_atom_site_type_symbol
_atom_site_fract_x
_atom_site_fract_y
_atom_site_fract_z
Sm1 Sm 0.351 0.351 0.946
Sm2 Sm 0.647 0.647 0.058
Sm3 Sm 0.151 0.151 0.548
U1 U 0.848 0.848 0.457
S1 S 0.955 0.557 0.248
S2 S 0.240 0.955 0.248
S3 S 0.557 0.240 0.248
S4 S 0.047 0.453 0.749
S5 S 0.751 0.047 0.749
S6 S 0.453 0.751 0.749
```



# 3
A plane-wave DFT calculation with PBE-GGA was carried out for a geometry-optimized Ho4ThAl5 structure.

- Total energy: -0.1766 Ha/atom
- Space group: P4/mmm (123)
- DOS(E_F): 4.5 states/eV per cell
- Energy relative to the elements: -362 meV/atom

Cell and atoms, written as CIF:
```
data_Ho4ThAl5
_cell_length_a 3.551
_cell_length_b 3.551
_cell_length_c 18.687
_cell_angle_alpha 90.00
_cell_angle_beta 90.00
_cell_angle_gamma 90.00
_symmetry_space_group_name_H-M 'P 1'
_symmetry_Int_Tables_number 1
_symmetry_space_group_name_Hall 'P 1'
loop_
_atom_site_label
_atom_site_type_symbol
_atom_site_fract_x
_atom_site_fract_y
_atom_site_fract_z
Ho1 Ho 0.000 0.000 0.209
Ho2 Ho 0.000 0.000 0.403
Ho3 Ho 0.000 0.000 0.597
Ho4 Ho 0.000 0.000 0.791
Th1 Th 0.000 0.000 0.000
Al1 Al 0.500 0.500 0.110
Al2 Al 0.500 0.500 0.306
Al3 Al 0.500 0.500 0.500
Al4 Al 0.500 0.500 0.694
Al5 Al 0.500 0.500 0.890
```



Q: What is the formula in the first record?
A: Hf4AlMo2



Q: What is the formula in the second record?
A: Sm3US6